(1)
UNiH2 | GGA-PBE | relaxed

CIF file:
```
data_UNiH2
_chemical_formula_sum 'U1 Ni1 H2'
_cell_length_a 2.830
_cell_length_b 2.830
_cell_length_c 6.001
_cell_angle_alpha 76.36
_cell_angle_beta 76.36
_cell_angle_gamma 60.00
_space_group_name_H-M_alt 'P 1'
_space_group_IT_number 1
loop_
_space_group_symop_operation_xyz
'x,y,z'
loop_
_atom_site_label
_atom_site_type_symbol
_atom_site_fract_x
_atom_site_fract_y
_atom_site_fract_z
H1 H 0.869 0.869 0.392
H2 H 0.131 0.131 0.608
Ni1 Ni 0.500 0.500 0.500
U1 U 0.000 0.000 0.000
```

Values from the calculation:
- volume (Å³/cell) = 40.05
- total DFT energy (no corrections) (eV per atom) = -5.87
- symmetry = R-3m, No. 166



(2)
CrAg2P | GGA-PBE | relaxed

CIF file:
```
data_CrAg2P
_chemical_formula_sum 'Cr1 Ag2 P1'
_cell_length_a 2.674
_cell_length_b 2.674
_cell_length_c 8.820
_cell_angle_alpha 90.00
_cell_angle_beta 90.00
_cell_angle_gamma 90.00
_space_group_name_H-M_alt 'P 1'
_space_group_IT_number 1
loop_
_space_group_symop_operation_xyz
'x,y,z'
loop_
_atom_site_label
_atom_site_type_symbol
_atom_site_fract_x
_atom_site_fract_y
_atom_site_fract_z
Cr1 Cr 0.500 0.500 0.250
P1 P 0.500 0.500 0.750
Ag1 Ag 0.000 0.000 0.011
Ag2 Ag 0.000 0.000 0.489
```

Values from the calculation:
- E_form (kJ/mol of formula units) = 236
- volume (Å³/cell) = 63.08
- symmetry = P4/mmm, No. 123



(3)
Na4Th3Te8 | GGA-PBE | relaxed

CIF file:
```
data_Na4Th3Te8
_chemical_formula_sum 'Na4 Th3 Te8'
_cell_length_a 9.151
_cell_length_b 9.151
_cell_length_c 9.706
_cell_angle_alpha 61.87
_cell_angle_beta 61.87
_cell_angle_gamma 60.00
_space_group_name_H-M_alt 'P 1'
_space_group_IT_number 1
loop_
_space_group_symop_operation_xyz
'x,y,z'
loop_
_atom_site_label
_atom_site_type_symbol
_atom_site_fract_x
_atom_site_fract_y
_atom_site_fract_z
Te1 Te 0.252 0.252 0.719
Th1 Th 0.000 0.000 0.500
Te2 Te 0.238 0.238 0.285
Te3 Te 0.224 0.748 0.281
Na1 Na 0.500 0.500 0.500
Th2 Th 0.000 0.500 0.500
Te4 Te 0.252 0.776 0.719
Te5 Te 0.748 0.224 0.281
Na2 Na 0.000 0.000 0.000
Na3 Na 0.637 0.637 0.090
Th3 Th 0.500 0.000 0.500
Te6 Te 0.748 0.748 0.281
Te7 Te 0.762 0.762 0.715
Na4 Na 0.363 0.363 0.910
Te8 Te 0.776 0.252 0.719
```

Values from the calculation:
- raw formation energy (eV per formula unit) = -16.5
- volume (Å³/cell) = 590.46
- E above lowest polymorph (meV per atom) = 0.0
- symmetry = R-3m, No. 166



(4)
Zr4TlCu | GGA-PBE | relaxed

CIF file:
```
data_Zr4TlCu
_chemical_formula_sum 'Zr8 Tl2 Cu2'
_cell_length_a 5.671
_cell_length_b 6.777
_cell_length_c 6.777
_cell_angle_alpha 90.00
_cell_angle_beta 90.00
_cell_angle_gamma 90.00
_space_group_name_H-M_alt 'P 1'
_space_group_IT_number 1
loop_
_space_group_symop_operation_xyz
'x,y,z'
loop_
_atom_site_label
_atom_site_type_symbol
_atom_site_fract_x
_atom_site_fract_y
_atom_site_fract_z
Tl1 Tl 0.250 0.000 0.000
Tl2 Tl 0.750 0.000 0.000
Cu1 Cu 0.750 0.500 0.500
Zr1 Zr 0.000 0.170 0.639
Zr2 Zr 0.000 0.639 0.830
Zr3 Zr 0.000 0.361 0.170
Zr4 Zr 0.500 0.170 0.361
Cu2 Cu 0.250 0.500 0.500
Zr5 Zr 0.000 0.830 0.361
Zr6 Zr 0.500 0.639 0.170
Zr7 Zr 0.500 0.361 0.830
Zr8 Zr 0.500 0.830 0.639
```

Values from the calculation:
- E_form (kJ/mol of formula units) = -7
- volume (Å³/cell) = 260.46
- E above lowest polymorph (meV per atom) = 0.0
- symmetry = P4/mcc, No. 124



(5)
Na6Hg5As | GGA-PBE | relaxed

CIF file:
```
data_Na6Hg5As
_chemical_formula_sum 'Na6 Hg5 As1'
_cell_length_a 5.076
_cell_length_b 7.781
_cell_length_c 8.187
_cell_angle_alpha 90.00
_cell_angle_beta 71.94
_cell_angle_gamma 90.00
_space_group_name_H-M_alt 'P 1'
_space_group_IT_number 1
loop_
_space_group_symop_operation_xyz
'x,y,z'
loop_
_atom_site_label
_atom_site_type_symbol
_atom_site_fract_x
_atom_site_fract_y
_atom_site_fract_z
Na1 Na 0.500 0.223 0.000
Hg1 Hg 0.322 0.000 0.356
Hg2 Hg 0.681 0.500 0.638
Hg3 Hg 0.678 0.000 0.644
Na2 Na 0.153 0.761 0.693
Hg4 Hg 0.000 0.500 0.000
Na3 Na 0.847 0.239 0.307
Na4 Na 0.847 0.761 0.307
Hg5 Hg 0.319 0.500 0.362
As1 As 0.000 0.000 0.000
Na5 Na 0.153 0.239 0.693
Na6 Na 0.500 0.777 0.000
```

Values from the calculation:
- E_form (kJ/mol of formula units) = -312
- volume (Å³/cell) = 307.43
- symmetry = Cmmm, No. 65



(6)
Ba2RuPb | GGA-PBE | relaxed

CIF file:
```
data_Ba2RuPb
_chemical_formula_sum 'Ba4 Ru2 Pb2'
_cell_length_a 11.434
_cell_length_b 11.434
_cell_length_c 8.512
_cell_angle_alpha 47.81
_cell_angle_beta 47.81
_cell_angle_gamma 90.00
_space_group_name_H-M_alt 'P 1'
_space_group_IT_number 1
loop_
_space_group_symop_operation_xyz
'x,y,z'
loop_
_atom_site_label
_atom_site_type_symbol
_atom_site_fract_x
_atom_site_fract_y
_atom_site_fract_z
Ru1 Ru 0.500 0.500 0.000
Ru2 Ru 0.250 0.750 0.500
Pb1 Pb 0.000 0.000 0.000
Ba1 Ba 0.375 0.538 0.750
Ba2 Ba 0.462 0.125 0.250
Ba3 Ba 0.875 0.712 0.750
Ba4 Ba 0.288 0.625 0.250
Pb2 Pb 0.750 0.250 0.500
```

Values from the calculation:
- E_form (kJ/mol of formula units) = 41
- volume (Å³/cell) = 348.02
- symmetry = I-42d, No. 122



- Number 2 is which compound?
  CrAg2P